# CdCoC2

A relaxed CdCoC2 crystal (PBE-GGA, Alexandria).

Formation energy from the elements, meV per atom: 1166.3
SG: I-42d

abc: 4.9291 4.9291 5.5503
angles: 63.64 63.64 90.00
Closest atoms and distances in Å follow each position.
Sites, in units of the cell vectors:
C  0.5293  0.1250  0.2500  2 Co 1.81
C  0.2207  0.6250  0.2500  2 Co 1.81
C  0.3750  0.4707  0.7500  2 Co 1.81
C  0.8750  0.7793  0.7500  2 Co 1.81
Co  0.5000  0.5000  0.0000  4 C 1.81
Co  0.2500  0.7500  0.5000  4 C 1.81
Cd  0.0000  0.0000  0.0000  4 C 2.36
Cd  0.7500  0.2500  0.5000  4 C 2.36

=====

# BeCrSe2Br

A relaxed BeCrSe2Br crystal (PBE-GGA, Alexandria).

SG: P4/mmm
Relative energy among the computed polymorphs, eV per formula unit: 0.000
Formation energy (no corrections), meV/atom: 280

abc: 4.5995 4.5995 4.9095
angles: 90.00 90.00 90.00
Closest atoms and distances in Å follow each position.
Sites, in units of the cell vectors:
Cr  0.5000  0.5000  0.5000  4 Br 3.25, 8 Se 3.36
Se  0.0000  0.5000  0.0000  2 Be 2.30
Se  0.5000  0.0000  0.0000  2 Be 2.30
Br  0.0000  0.0000  0.5000  2 Be 2.45
Be  0.0000  0.0000  0.0000  4 Se 2.30, 2 Br 2.45

=====

# Ca3AlAs2Pt9

A relaxed Ca3AlAs2Pt9 crystal (PBE-GGA, Alexandria).

Formation energy from the elements, meV per atom: -548.2
SG: P-3m1

abc: 6.5145 6.5145 8.8334
angles: 90.00 90.00 120.00
Closest atoms and distances in Å follow each position.
Sites, in units of the cell vectors:
Ca  0.3333  0.6667  0.7062  9 Pt 3.20-3.28
Ca  0.0000  0.0000  0.0000  6 Pt 2.90
Ca  0.6667  0.3333  0.2938  9 Pt 3.20-3.28
Al  0.0000  0.0000  0.5000  6 Pt 2.50
As  0.3333  0.6667  0.1889  6 Pt 2.35-2.51
As  0.6667  0.3333  0.8111  6 Pt 2.35-2.51
Pt  0.8626  0.1374  0.7224  1 As 2.35, 1 Al 2.50
Pt  0.8626  0.7252  0.7224  1 As 2.35, 1 Al 2.50
Pt  0.2748  0.1374  0.7224  1 As 2.35, 1 Al 2.50
Pt  0.7252  0.8626  0.2776  1 As 2.35, 1 Al 2.50
Pt  0.1374  0.2748  0.2776  1 As 2.35, 1 Al 2.50
Pt  0.1374  0.8626  0.2776  1 As 2.35, 1 Al 2.50
Pt  0.5000  0.0000  0.0000  2 As 2.51
Pt  0.0000  0.5000  0.0000  2 As 2.51
Pt  0.5000  0.5000  0.0000  2 As 2.51

=====

# LiPuMgBi

A relaxed LiPuMgBi crystal (PBE-GGA, Alexandria).

Formation energy from the elements, meV per atom: -27.2
SG: F-43m

abc: 5.2544 5.2544 5.2544
angles: 60.00 60.00 60.00
Closest atoms and distances in Å follow each position.
Sites, in units of the cell vectors:
Mg  0.7500  0.7500  0.7500  4 Bi 3.22, 4 Li 3.22
Li  0.5000  0.5000  0.5000  4 Mg 3.22, 4 Pu 3.22
Bi  0.0000  0.0000  0.0000  4 Mg 3.22, 4 Pu 3.22
Pu  0.2500  0.2500  0.2500  4 Bi 3.22, 4 Li 3.22

=====

# AcPm2TmP4

A relaxed AcPm2TmP4 crystal (PBE-GGA, Alexandria).

Formation energy from the elements, meV per atom: -1489.8
SG: P2/m

abc: 4.1744 7.2299 7.2260
angles: 70.66 90.00 90.00
Closest atoms and distances in Å follow each position.
Sites, in units of the cell vectors:
Ac  0.5000  0.5000  0.0000  6 P 3.01-3.02
Pm  0.0000  0.0000  0.0000  6 P 3.00
Pm  0.5000  0.0000  0.5000  6 P 2.89
Tm  0.0000  0.5000  0.5000  6 P 2.90-2.91
P  0.0000  0.7571  0.7350  3 Pm 2.89-3.00, 1 Tm 2.90, 2 Ac 3.02
P  0.0000  0.2429  0.2649  3 Pm 2.89-3.00, 1 Tm 2.90, 2 Ac 3.02
P  0.5000  0.7479  0.2624  3 Pm 2.89-3.00, 2 Tm 2.91, 1 Ac 3.01
P  0.5000  0.2521  0.7376  3 Pm 2.89-3.00, 2 Tm 2.91, 1 Ac 3.01

=====

# Rb3CeDy2Se6

A relaxed Rb3CeDy2Se6 crystal (PBE-GGA, Alexandria).

SG: C2/m
Formation energy (no corrections), meV/atom: -1713

abc: 7.4527 7.4527 8.3728
angles: 98.54 98.54 120.00
Closest atoms and distances in Å follow each position.
Sites, in units of the cell vectors:
Rb  0.1655  0.8345  0.5000  6 Se 3.44-3.50
Rb  0.8345  0.1655  0.5000  6 Se 3.44-3.50
Rb  0.5000  0.5000  0.5000  6 Se 3.43-3.49
Ce  0.0000  0.0000  0.0000  6 Se 2.99
Dy  0.3332  0.6668  0.0000  6 Se 2.91
Dy  0.6668  0.3332  0.0000  6 Se 2.91
Se  0.9344  0.5925  0.8034  2 Dy 2.91, 1 Ce 2.99
Se  0.7235  0.7235  0.1964  2 Dy 2.91, 1 Ce 2.99
Se  0.0656  0.4075  0.1966  2 Dy 2.91, 1 Ce 2.99
Se  0.5925  0.9344  0.8034  2 Dy 2.91, 1 Ce 2.99
Se  0.2765  0.2765  0.8036  2 Dy 2.91, 1 Ce 2.99
Se  0.4075  0.0656  0.1966  2 Dy 2.91, 1 Ce 2.99